(1)
This record from the Alexandria database describes a geometry-optimized CdCoGeP structure. The functional is PBE.

Output
Space-group type   Cm (8)
Fermi-level density of states   0.711 states/eV/atom
Total DFT energy (no corrections)   -36.3 eV for the cell shown

Cell lengths 4.1210, 4.0792, 8.4571 Å; angles 90.00, 101.31, 90.00 degrees
Element x y z (fractional)
P 0.6312 0.0000 0.0506
P 0.6312 0.5000 0.5506
Co 0.1667 0.5000 0.6389
Co 0.1667 0.0000 0.1389
Cd 0.9172 0.5000 0.9133
Cd 0.9172 0.0000 0.4133
Ge 0.3016 0.0000 0.7761
Ge 0.3016 0.5000 0.2761



(2)
This record from the Alexandria database describes a geometry-optimized CdCoGeP structure. The functional is PBE.

Output
Space-group type   P4mm (99)
Fermi-level density of states   0.754 states/eV/atom
Total DFT energy (no corrections)   -18.2 eV for the cell shown

Cell lengths 2.8350, 2.8350, 8.4885 Å; angles 90.00, 90.00, 90.00 degrees
Each line ends with the local moment (μB).
Element x y z (fractional)
Cd 0.5000 0.5000 0.5438  0.00
Ge 0.5000 0.5000 0.8820  0.00
P 0.5000 0.5000 0.2214  0.00
Co 0.0000 0.0000 0.0883  0.30



(3)
This record from the Alexandria database describes a geometry-optimized CdCoGe2P structure. The functional is PBE.

Output
Space-group type   Cm (8)
Fermi-level density of states   0.655 states/eV/atom
Total DFT energy (no corrections)   -44.8 eV for the cell shown

Cell lengths 6.0934, 2.7961, 10.9789 Å; angles 90.00, 112.51, 90.00 degrees
Each line ends with the local moment (μB).
Element x y z (fractional)
P 0.2954 0.0000 0.1032  0.00
P 0.2954 0.5000 0.6032  0.00
Cd 0.7586 0.5000 0.6673  0.00
Cd 0.7586 0.0000 0.1673  0.00
Co 0.0413 0.5000 0.3969  0.32
Co 0.0413 0.0000 0.8969  0.32
Ge 0.2862 0.5000 0.8199  0.00
Ge 0.7491 0.5000 0.9358  0.00
Ge 0.2862 0.0000 0.3199  0.00
Ge 0.7491 0.0000 0.4358  0.00